VASP calculation (PBE) on crystalline La2Zn15Ru2 at its relaxed geometry.

Cell and atoms, written as POSCAR:
```
La2Zn15Ru2
1.0
4.5604 2.6329 4.3745
-4.5604 2.6329 4.3745
0.0000 -5.2658 4.3745
La Zn Ru
2 15 2
Cartesian
0.0000 0.0000 2.1600
0.0000 0.0000 10.9635
-2.2802 -1.3165 4.3745
0.0000 -2.6003 4.1780
-2.2519 1.3001 4.1780
-1.2832 -2.2226 6.5618
-2.5665 0.0000 6.5618
-2.2519 -1.3001 8.9456
-2.2802 1.3165 8.7490
1.2832 -2.2226 6.5618
0.0000 2.6329 4.3745
-1.2832 2.2226 6.5618
2.2519 1.3001 4.1780
2.5665 0.0000 6.5618
1.2832 2.2226 6.5618
2.2519 -1.3001 8.9456
0.0000 2.6003 8.9456
0.0000 0.0000 5.2243
0.0000 0.0000 7.8993
```

Computed properties:
**Energy of formation**: -4.27 eV/f.u.


VASP calculation (PBE) on crystalline CeHfAg at its relaxed geometry.

Cell and atoms, written as POSCAR:
```
CeHfAg
1.0
3.3953 0.0000 0.0000
-0.0019 3.4058 0.0000
-0.0030 -0.0049 11.4838
Ce Hf Ag
2 2 2
Cartesian
0.8435 0.8457 4.6308
2.5469 2.5552 6.8530
0.8473 0.8487 9.0385
2.5431 2.5522 2.4453
0.8477 0.8514 0.7948
2.5427 2.5494 10.6890
```

Computed properties:
**Energy of formation**: 0.01 eV/f.u.


VASP calculation (PBE) on crystalline Li2Tl3 at its relaxed geometry.

Cell and atoms, written as POSCAR:
```
Li2Tl3
1.0
0.0000 7.3730 3.0620
5.4010 0.0000 3.0620
5.4010 7.3730 0.0000
Li Tl
4 6
Cartesian
3.0378 0.7369 1.5310
5.7383 2.9496 3.0620
2.3633 6.6361 1.5310
5.0638 11.7964 3.0620
5.4010 7.3730 0.3225
2.7005 3.6865 1.8535
4.8232 5.8424 3.3473
5.9789 8.9036 3.3473
8.6794 9.5289 4.8783
7.5237 12.5901 4.8783
```

Computed properties:
**Energy of formation**: -0.63 eV/f.u.


VASP calculation (PBE) on crystalline BaAlNO2 at its relaxed geometry.

Cell and atoms, written as POSCAR:
```
BaAlNO2
1.0
4.4633 0.0000 0.0000
0.0000 4.4633 0.0000
0.0000 0.0000 4.8788
Ba Al N O
1 1 1 2
Cartesian
0.0000 0.0000 0.0000
2.2316 2.2316 2.4394
0.0000 0.0000 2.4394
0.0000 2.2316 0.0000
2.2316 0.0000 0.0000
```

Computed properties:
**Formation energy without anion corrections**: 747 meV/atom